Entry 1:
A geometry-optimized CaTl3V structure, computed with PBE-GGA.

```
CaTl3V
1.0
-3.236 4.139 -0.134
-3.898 -3.102 -1.674
-1.397 -0.932 4.980
Tl Ca V
3 1 1
Cartesian
-1.949 -1.551 -0.837
-0.699 -0.466 2.490
-1.618 2.069 -0.067
-4.265 0.053 1.586
0.000 0.000 0.000
```

Values from the calculation:
**Symmetry**: Pm-3m
**Distance to the lowest polymorph of the same formula**: 0 meV per atom
**Calculated formation energy**: 0.2120 eV per atom

=====

Entry 2:
A geometry-optimized Ca2TlV2 structure, computed with PBE-GGA.

```
Ca2TlV2
1.0
-3.295 0.758 -0.058
-0.192 -0.580 3.326
0.563 10.260 3.541
Tl Ca V
1 2 2
Cartesian
0.000 0.000 0.000
-1.228 2.361 2.060
-1.696 8.077 4.748
-2.238 5.554 2.558
-0.686 4.885 4.250
```

Values from the calculation:
**Symmetry**: I4/mmm
**Distance to the lowest polymorph of the same formula**: 0 meV per atom
**Calculated formation energy**: 0.2979 eV per atom

=====

What is the calculated formation energy in the first record?
0.2120 eV per atom